[1]
VASP calculation (GGA-PBE) on a relaxed SrCr2W crystal.

Computed properties:
The space group is P4mm, No. 99. The crystal system is tetragonal. The density of states at the Fermi level comes out at 5.45 states/eV/f.u. The formation energy from the elements is 0.823 eV per atom.

Lattice parameters (Å, degrees): 3.250 3.250 7.387 90.00 90.00 90.00
Sites, in units of the cell vectors:
Sr1 0.000 0.000 0.000
Cr1 0.000 0.000 0.520
Cr2 0.500 0.500 0.656
W1 0.500 0.500 0.356

---

[2]
VASP calculation (GGA-PBE) on a relaxed Cs2MgH4 crystal.

Computed properties:
The space group is I4/mmm, No. 139. The crystal system is tetragonal. The density of states at the Fermi level comes out at 0.00 states/eV/f.u.

Lattice parameters (Å, degrees): 8.016 8.016 8.016 148.90 148.90 44.56
Sites, in units of the cell vectors:
Cs1 0.145 0.145 0.000
Cs2 0.855 0.855 0.000
Mg1 0.500 0.500 0.000
H1 0.000 0.500 0.500
H2 0.369 0.369 0.000
H3 0.500 0.000 0.500
H4 0.631 0.631 0.000

---

[3]
VASP calculation (GGA-PBE) on a relaxed NaInHg3 crystal.

Computed properties:
The space group is Imma, No. 74. The crystal system is orthorhombic. The density of states at the Fermi level comes out at 1.91 states/eV/f.u. The formation energy from the elements is -0.049 eV per atom.

Lattice parameters (Å, degrees): 7.825 7.825 7.825 136.98 86.31 109.46
Sites, in units of the cell vectors:
Na1 0.000 0.000 0.000
Na2 0.500 0.000 0.500
In1 0.421 0.671 0.750
In2 0.579 0.329 0.250
Hg1 0.000 0.000 0.500
Hg2 0.000 0.500 0.000
Hg3 0.151 0.664 0.487
Hg4 0.324 0.336 0.987
Hg5 0.676 0.664 0.013
Hg6 0.849 0.336 0.513

---

[4]
VASP calculation (GGA-PBE) on a relaxed Nd3Al7Zn4 crystal.

Computed properties:
The space group is C2/m, No. 12. The crystal system is monoclinic. The density of states at the Fermi level comes out at 6.40 states/eV/f.u. The formation energy from the elements is -0.407 eV per atom.

Lattice parameters (Å, degrees): 8.369 8.369 9.990 126.08 126.08 29.89
Sites, in units of the cell vectors:
Nd1 0.000 0.000 0.000
Nd2 0.316 0.316 0.312
Nd3 0.684 0.684 0.688
Al1 0.000 0.000 0.500
Al2 0.152 0.152 0.419
Al3 0.333 0.333 0.971
Al4 0.495 0.495 0.712
Al5 0.505 0.505 0.288
Al6 0.667 0.667 0.029
Al7 0.848 0.848 0.581
Zn1 0.134 0.134 0.859
Zn2 0.340 0.340 0.720
Zn3 0.660 0.660 0.280
Zn4 0.866 0.866 0.141

---

[5]
VASP calculation (GGA-PBE) on a relaxed BaZr2TcO8 crystal.

Computed properties:
The space group is C2/m, No. 12. The crystal system is monoclinic. Its formation energy from raw total energies is -2451 meV/atom. The density of states at the Fermi level comes out at 0.27 states/eV/f.u.

Lattice parameters (Å, degrees): 5.263 5.263 7.308 98.39 98.39 77.91
Sites, in units of the cell vectors:
Ba1 0.000 0.000 0.000
Zr1 0.452 0.452 0.774
Zr2 0.548 0.548 0.226
Tc1 0.000 0.000 0.500
O1 0.206 0.774 0.689
O2 0.226 0.226 0.567
O3 0.226 0.794 0.311
O4 0.340 0.340 0.997
O5 0.660 0.660 0.003
O6 0.774 0.206 0.689
O7 0.774 0.774 0.433
O8 0.794 0.226 0.311

---

[6]
VASP calculation (GGA-PBE) on a relaxed AlTlIn2 crystal.

Computed properties:
The space group is R3m, No. 160. The crystal system is trigonal. The density of states at the Fermi level comes out at 1.63 states/eV/f.u. The formation energy from the elements is 0.156 eV per atom.

Lattice parameters (Å, degrees): 6.435 6.435 6.435 42.91 42.91 42.91
Sites, in units of the cell vectors:
Al1 0.000 0.000 0.000
Tl1 0.821 0.821 0.821
In1 0.388 0.388 0.388
In2 0.597 0.597 0.597

---

[7]
VASP calculation (GGA-PBE) on a relaxed Tm5AlSb2 crystal.

Computed properties:
The space group is Cmcm, No. 63. The crystal system is orthorhombic. Its formation energy from raw total energies is -316 meV/atom. The density of states at the Fermi level comes out at 7.43 states/eV/f.u.

Lattice parameters (Å, degrees): 6.256 6.256 14.456 90.00 90.00 128.95
Sites, in units of the cell vectors:
Tm1 0.062 0.938 0.750
Tm2 0.124 0.876 0.052
Tm3 0.124 0.876 0.448
Tm4 0.425 0.575 0.098
Tm5 0.425 0.575 0.402
Tm6 0.575 0.425 0.598
Tm7 0.575 0.425 0.902
Tm8 0.876 0.124 0.552
Tm9 0.876 0.124 0.948
Tm10 0.938 0.062 0.250
Al1 0.225 0.775 0.250
Al2 0.775 0.225 0.750
Sb1 0.287 0.713 0.622
Sb2 0.287 0.713 0.878
Sb3 0.713 0.287 0.122
Sb4 0.713 0.287 0.378

---

[8]
VASP calculation (GGA-PBE) on a relaxed Ce2SiB2Ru5 crystal.

Computed properties:
The space group is P4/mbm, No. 127. The crystal system is tetragonal. Its formation energy from raw total energies is -578 meV/atom. The density of states at the Fermi level comes out at 3.90 states/eV/f.u.

Lattice parameters (Å, degrees): 9.600 9.600 3.087 90.00 90.00 90.00
Sites, in units of the cell vectors:
Ce1 0.176 0.324 0.000
Ce2 0.324 0.824 0.000
Ce3 0.676 0.176 0.000
Ce4 0.824 0.676 0.000
Si1 0.000 0.000 0.000
Si2 0.500 0.500 0.000
B1 0.123 0.623 0.000
B2 0.377 0.123 0.000
B3 0.623 0.877 0.000
B4 0.877 0.377 0.000
Ru1 0.000 0.500 0.500
Ru2 0.069 0.786 0.500
Ru3 0.214 0.069 0.500
Ru4 0.286 0.569 0.500
Ru5 0.431 0.286 0.500
Ru6 0.500 0.000 0.500
Ru7 0.569 0.714 0.500
Ru8 0.714 0.431 0.500
Ru9 0.786 0.931 0.500
Ru10 0.931 0.214 0.500

---

[9]
VASP calculation (GGA-PBE) on a relaxed Cs3Ce2CdSe6 crystal.

Computed properties:
The space group is C2/m, No. 12. The crystal system is monoclinic. Its formation energy from raw total energies is -1387 meV/atom. The density of states at the Fermi level comes out at 6.01 states/eV/f.u.

Lattice parameters (Å, degrees): 7.531 7.531 8.715 98.24 98.24 120.01
Sites, in units of the cell vectors:
Cs1 0.000 0.000 0.000
Cs2 0.336 0.664 0.000
Cs3 0.664 0.336 0.000
Ce1 0.167 0.833 0.500
Ce2 0.833 0.167 0.500
Cd1 0.500 0.500 0.500
Se1 0.101 0.438 0.313
Se2 0.226 0.226 0.685
Se3 0.438 0.101 0.313
Se4 0.562 0.899 0.687
Se5 0.774 0.774 0.315
Se6 0.899 0.562 0.687

---

[10]
VASP calculation (GGA-PBE) on a relaxed InIrRu2 crystal.

Computed properties:
The space group is Immm, No. 71. The crystal system is orthorhombic. The density of states at the Fermi level comes out at 5.26 states/eV/f.u. The formation energy from the elements is 0.336 eV per atom.

Lattice parameters (Å, degrees): 5.588 5.588 5.588 150.63 130.86 58.29
Sites, in units of the cell vectors:
In1 0.000 0.000 0.000
Ir1 0.500 0.500 0.000
Ru1 0.271 0.771 0.500
Ru2 0.729 0.229 0.500

---

[11]
VASP calculation (GGA-PBE) on a relaxed HgBP2S crystal.

Computed properties:
The space group is P4/mmm, No. 123. The crystal system is tetragonal. Its formation energy from raw total energies is 888 meV/atom. The density of states at the Fermi level comes out at 3.54 states/eV/f.u.

Lattice parameters (Å, degrees): 4.311 4.311 4.240 90.00 90.00 90.00
Sites, in units of the cell vectors:
Hg1 0.000 0.000 0.000
B1 0.500 0.500 0.500
P1 0.000 0.500 0.500
P2 0.500 0.000 0.500
S1 0.500 0.500 0.000

---

[12]
VASP calculation (GGA-PBE) on a relaxed Ba6Pb2BrN crystal.

Computed properties:
The space group is Pmmn, No. 59. The crystal system is orthorhombic. Its formation energy from raw total energies is -725 meV/atom. The density of states at the Fermi level comes out at 1.08 states/eV/f.u.

Lattice parameters (Å, degrees): 8.360 11.821 8.356 90.00 90.00 90.00
Sites, in units of the cell vectors:
Ba1 0.019 0.250 0.022
Ba2 0.021 0.250 0.482
Ba3 0.250 0.020 0.251
Ba4 0.250 0.480 0.251
Ba5 0.479 0.250 0.482
Ba6 0.481 0.250 0.022
Ba7 0.519 0.750 0.978
Ba8 0.521 0.750 0.518
Ba9 0.750 0.520 0.749
Ba10 0.750 0.980 0.749
Ba11 0.979 0.750 0.518
Ba12 0.981 0.750 0.978
Pb1 0.250 0.000 0.750
Pb2 0.250 0.500 0.750
Pb3 0.750 0.000 0.250
Pb4 0.750 0.500 0.250
Br1 0.250 0.750 0.249
Br2 0.750 0.250 0.751
N1 0.250 0.250 0.251
N2 0.750 0.750 0.749

---

[13]
VASP calculation (GGA-PBE) on a relaxed CaMg3Cu crystal.

Computed properties:
The space group is Pm-3m, No. 221. The crystal system is cubic. The density of states at the Fermi level comes out at 2.44 states/eV/f.u. The formation energy from the elements is -0.003 eV per atom.

Lattice parameters (Å, degrees): 4.996 4.996 4.996 90.00 90.00 90.00
Sites, in units of the cell vectors:
Ca1 0.000 0.000 0.000
Mg1 0.000 0.500 0.500
Mg2 0.500 0.000 0.500
Mg3 0.500 0.500 0.000
Cu1 0.500 0.500 0.500

---

[14]
VASP calculation (GGA-PBE) on a relaxed Tl3OsCl crystal.

Computed properties:
The space group is Pm-3m, No. 221. The crystal system is cubic. Its formation energy from raw total energies is 1156 meV/atom. The density of states at the Fermi level comes out at 6.31 states/eV/f.u.

Lattice parameters (Å, degrees): 5.681 5.681 5.681 90.00 90.00 90.00
Sites, in units of the cell vectors:
Tl1 0.000 0.000 0.500
Tl2 0.000 0.500 0.000
Tl3 0.500 0.000 0.000
Os1 0.500 0.500 0.500
Cl1 0.000 0.000 0.000

---

[15]
VASP calculation (GGA-PBE) on a relaxed PmThPN crystal.

Computed properties:
The space group is P4/nmm, No. 129. The crystal system is tetragonal. Its formation energy from raw total energies is -1177 meV/atom. The density of states at the Fermi level comes out at 2.02 states/eV/f.u.

Lattice parameters (Å, degrees): 4.366 4.366 9.299 90.00 90.00 90.00
Sites, in units of the cell vectors:
Pm1 0.250 0.750 0.000
Pm2 0.750 0.250 0.000
Th1 0.250 0.250 0.391
Th2 0.750 0.750 0.609
P1 0.250 0.250 0.802
P2 0.750 0.750 0.198
N1 0.250 0.750 0.500
N2 0.750 0.250 0.500

---

[16]
VASP calculation (GGA-PBE) on a relaxed BaNaLa3 crystal.

Computed properties:
The space group is Pm-3m, No. 221. The crystal system is cubic. The density of states at the Fermi level comes out at 4.52 states/eV/f.u. The formation energy from the elements is 0.735 eV per atom.

Lattice parameters (Å, degrees): 6.108 6.108 6.108 90.00 90.00 90.00
Sites, in units of the cell vectors:
Ba1 0.000 0.000 0.000
Na1 0.500 0.500 0.500
La1 0.000 0.000 0.500
La2 0.000 0.500 0.000
La3 0.500 0.000 0.000

---

[17]
VASP calculation (GGA-PBE) on a relaxed Sr2Zn3Ge5 crystal.

Computed properties:
The space group is Ibam, No. 72. The crystal system is orthorhombic. The density of states at the Fermi level comes out at 1.72 states/eV/f.u. The formation energy from the elements is -0.316 eV per atom.

Lattice parameters (Å, degrees): 8.900 8.900 8.900 108.50 86.67 137.80
Sites, in units of the cell vectors:
Sr1 0.124 0.248 0.372
Sr2 0.376 0.748 0.123
Sr3 0.624 0.252 0.877
Sr4 0.876 0.752 0.628
Zn1 0.129 0.877 0.006
Zn2 0.250 0.750 0.500
Zn3 0.371 0.377 0.748
Zn4 0.629 0.623 0.252
Zn5 0.750 0.250 0.500
Zn6 0.871 0.123 0.994
Ge1 0.006 0.750 0.256
Ge2 0.117 0.635 0.752
Ge3 0.250 0.250 0.000
Ge4 0.383 0.135 0.518
Ge5 0.494 0.750 0.744
Ge6 0.506 0.250 0.256
Ge7 0.617 0.865 0.482
Ge8 0.750 0.750 0.000
Ge9 0.883 0.365 0.248
Ge10 0.994 0.250 0.744

---

[18]
VASP calculation (GGA-PBE) on a relaxed PmGaCu2Si crystal.

Computed properties:
The space group is Imm2, No. 44. The crystal system is orthorhombic. Its formation energy from raw total energies is -460 meV/atom. The density of states at the Fermi level comes out at 2.87 states/eV/f.u.

Lattice parameters (Å, degrees): 5.963 5.963 5.963 140.44 139.83 57.64
Sites, in units of the cell vectors:
Pm1 0.000 0.000 0.000
Ga1 0.245 0.745 0.500
Cu1 0.616 0.616 0.000
Cu2 0.765 0.265 0.500
Si1 0.394 0.394 0.000

---

[19]
VASP calculation (GGA-PBE) on a relaxed CsCaHg3 crystal.

Computed properties:
The space group is Pm-3m, No. 221. The crystal system is cubic. The density of states at the Fermi level comes out at 3.28 states/eV/f.u. The formation energy from the elements is -0.144 eV per atom.

Lattice parameters (Å, degrees): 6.099 6.099 6.099 90.00 90.00 90.00
Sites, in units of the cell vectors:
Cs1 0.000 0.000 0.000
Ca1 0.500 0.500 0.500
Hg1 0.000 0.500 0.500
Hg2 0.500 0.000 0.500
Hg3 0.500 0.500 0.000

---

[20]
VASP calculation (GGA-PBE) on a relaxed GeSb2TeP crystal.

Computed properties:
The space group is P4/mmm, No. 123. The crystal system is tetragonal. Its formation energy from raw total energies is 638 meV/atom. The density of states at the Fermi level comes out at 4.06 states/eV/f.u.

Lattice parameters (Å, degrees): 5.185 5.185 5.269 90.00 90.00 90.00
Sites, in units of the cell vectors:
Ge1 0.000 0.000 0.000
Sb1 0.000 0.500 0.500
Sb2 0.500 0.000 0.500
Te1 0.500 0.500 0.000
P1 0.500 0.500 0.500

---

[21]
VASP calculation (GGA-PBE) on a relaxed Ca2LaPt crystal.

Computed properties:
The space group is Cm, No. 8. The crystal system is monoclinic. The density of states at the Fermi level comes out at 3.93 states/eV/f.u. The formation energy from the elements is -0.498 eV per atom.

Lattice parameters (Å, degrees): 6.733 6.733 5.692 115.00 115.00 32.87
Sites, in units of the cell vectors:
Ca1 0.000 0.000 0.000
Ca2 0.185 0.185 0.685
La1 0.371 0.371 0.370
Pt1 0.691 0.691 0.189

---

[22]
VASP calculation (GGA-PBE) on a relaxed Er3SbPN crystal.

Computed properties:
The space group is P2_1/m, No. 11. The crystal system is monoclinic. Its formation energy from raw total energies is -1321 meV/atom. The density of states at the Fermi level comes out at 0.54 states/eV/f.u.

Lattice parameters (Å, degrees): 8.554 4.026 9.037 90.00 101.39 90.00
Sites, in units of the cell vectors:
Er1 0.079 0.250 0.355
Er2 0.344 0.250 0.988
Er3 0.379 0.750 0.663
Er4 0.621 0.250 0.337
Er5 0.656 0.750 0.012
Er6 0.921 0.750 0.645
Sb1 0.324 0.750 0.288
Sb2 0.676 0.250 0.712
P1 0.148 0.250 0.661
P2 0.852 0.750 0.339
N1 0.406 0.750 0.901
N2 0.594 0.250 0.099

---

[23]
VASP calculation (GGA-PBE) on a relaxed ZrTaCo4 crystal.

Computed properties:
The space group is F-43m, No. 216. The crystal system is cubic. The density of states at the Fermi level comes out at 8.36 states/eV/f.u. The formation energy from the elements is -0.236 eV per atom.

Lattice parameters (Å, degrees): 4.823 4.823 4.823 60.00 60.00 60.00
Sites, in units of the cell vectors:
Zr1 0.000 0.000 0.000
Ta1 0.250 0.250 0.250
Co1 0.126 0.625 0.625
Co2 0.625 0.126 0.625
Co3 0.625 0.625 0.126
Co4 0.625 0.625 0.625

---

[24]
VASP calculation (GGA-PBE) on a relaxed KLi2Al crystal.

Computed properties:
The space group is C2/m, No. 12. The crystal system is monoclinic. The density of states at the Fermi level comes out at 2.29 states/eV/f.u. The formation energy from the elements is 0.138 eV per atom.

Lattice parameters (Å, degrees): 5.147 5.147 6.796 96.97 96.97 37.25
Sites, in units of the cell vectors:
K1 0.000 0.000 0.000
Li1 0.226 0.226 0.647
Li2 0.774 0.774 0.353
Al1 0.500 0.500 0.500

---

| no. | total moment (μB per cell) | uncorrected energy (eV per atom) |
| --- | --- | --- |
| 1 | 0.0 | -7.6473 |
| 2 | 0.0 | -2.6272 |
| 3 | 0.0 | -1.0415 |
| 4 | 0.0 | -3.6641 |
| 5 | 1.0 | -8.2048 |
| 6 | 0.0 | -2.7406 |
| 7 | 0.0 | -4.6088 |
| 8 | 0.0 | -8.2803 |
| 9 | 1.0 | -4.4079 |
| 10 | 0.0 | -7.2020 |
| 11 | 0.0 | -3.4972 |
| 12 | 0.0 | -3.6201 |
| 13 | 0.0 | -2.1789 |
| 14 | 2.4 | -2.8790 |
| 15 | 0.0 | -7.6537 |
| 16 | 0.0 | -2.8697 |
| 17 | 0.0 | -3.3428 |
| 18 | 0.0 | -4.7387 |
| 19 | 0.0 | -0.8966 |
| 20 | 0.0 | -3.6447 |
| 21 | 0.0 | -4.2410 |
| 22 | 0.0 | -6.5791 |
| 23 | 1.5 | -8.3731 |
| 24 | 0.0 | -2.0285 |